1.
{
  "formula": "Th2CoSn",
  "functional": "GGA-PBE",
  "state": "optimized geometry",
  "magnetic_moment_mub_per_atom": 0.0000,
  "relative_energy_ev_per_atom": 0.0000,
  "space_group": "Pnma, No. 62",
  "formation_energy_mev_per_atom": -357,
  "lattice_angstrom": [[4.4251, 0.0000, 0.0000], [0.0000, 6.2540, 0.0000], [0.0000, 0.0000, 14.8921]],
  "species": ["Th", "Th", "Th", "Th", "Sn", "Co", "Sn", "Th", "Co", "Th", "Co", "Th", "Th", "Sn", "Sn", "Co"],
  "fractional_positions": [[0.5625, 0.7219, 0.5371], [0.0625, 0.7781, 0.0371], [0.5624, 0.6031, 0.2045], [0.0624, 0.8969, 0.7045], [0.0625, 0.7559, 0.3648], [0.0624, 0.4835, 0.6208], [0.5625, 0.2441, 0.6352], [0.5625, 0.2219, 0.9629], [0.0624, 0.9835, 0.8792], [0.0625, 0.2781, 0.4629], [0.5624, 0.5165, 0.3792], [0.0624, 0.3969, 0.7955], [0.5624, 0.1031, 0.2955], [0.5625, 0.7441, 0.8648], [0.0625, 0.2559, 0.1352], [0.5624, 0.0165, 0.1208]]
}

2.
{
  "formula": "ThCo4Sn12",
  "functional": "GGA-PBE",
  "state": "optimized geometry",
  "magnetic_moment_mub_per_atom": 0.0000,
  "space_group": "Im-3, No. 204",
  "formation_energy_mev_per_atom": -91,
  "lattice_angstrom": [[-5.5491, 3.3036, -4.6802], [1.6238, -7.3653, -2.5937], [-2.7107, -0.3572, 7.4924]],
  "species": ["Sn", "Co", "Co", "Sn", "Sn", "Sn", "Sn", "Sn", "Sn", "Th", "Sn", "Co", "Sn", "Sn", "Co", "Sn", "Sn"],
  "fractional_positions": [[0.5022, 0.1701, 0.3320], [0.0000, 0.5000, 0.0000], [0.0000, 0.0000, 0.5000], [0.3320, 0.1619, 0.8299], [0.1619, 0.8299, 0.3320], [0.6680, 0.4978, 0.8299], [0.8381, 0.1701, 0.6680], [0.1701, 0.6680, 0.8381], [0.4978, 0.8299, 0.6680], [0.0000, 0.0000, 0.0000], [0.8299, 0.6680, 0.4978], [0.5000, 0.5000, 0.5000], [0.1701, 0.3320, 0.5022], [0.6680, 0.8381, 0.1701], [0.5000, 0.0000, 0.0000], [0.3320, 0.5022, 0.1701], [0.8299, 0.3320, 0.1619]]
}

3.
{
  "formula": "Th4CoSn8",
  "functional": "GGA-PBE",
  "state": "optimized geometry",
  "magnetic_moment_mub_per_atom": 0.0000,
  "space_group": "Pmm2, No. 25",
  "formation_energy_mev_per_atom": -509,
  "lattice_angstrom": [[4.4805, 0.0000, 0.0000], [0.0000, 4.5096, 0.0000], [0.0000, 0.0000, 17.1833]],
  "species": ["Sn", "Th", "Sn", "Th", "Sn", "Th", "Sn", "Sn", "Sn", "Sn", "Th", "Co", "Sn"],
  "fractional_positions": [[0.5000, 0.0000, 0.2397], [0.5000, 0.5000, 0.3927], [0.0000, 0.5000, 0.9375], [0.5000, 0.0000, 0.8986], [0.0000, 0.5000, 0.2406], [0.0000, 0.5000, 0.6050], [0.5000, 0.0000, 0.5646], [0.5000, 0.5000, 0.0610], [0.0000, 0.0000, 0.4510], [0.0000, 0.0000, 0.7521], [0.0000, 0.0000, 0.1014], [0.0000, 0.0000, 0.3074], [0.5000, 0.5000, 0.7513]]
}

4.
{
  "formula": "Th8Co3Sn2",
  "functional": "GGA-PBE",
  "state": "optimized geometry",
  "magnetic_moment_mub_per_atom": 0.0000,
  "space_group": "C2/m, No. 12",
  "formation_energy_mev_per_atom": -128,
  "lattice_angstrom": [[-2.5659, 4.7859, -1.9034], [-5.6129, -0.1027, 7.3084], [8.5563, 2.4002, 0.7947]],
  "species": ["Co", "Co", "Sn", "Th", "Th", "Th", "Co", "Th", "Th", "Th", "Th", "Sn", "Th"],
  "fractional_positions": [[0.0000, 0.2648, 0.0000], [0.0000, 0.7352, 0.0000], [0.5010, 0.2527, 0.5055], [0.0730, 0.3918, 0.7835], [0.9295, 0.1069, 0.2139], [0.5719, 0.6537, 0.8012], [0.5000, 0.0000, 0.0000], [0.5719, 0.1474, 0.8012], [0.4281, 0.8526, 0.1988], [0.9270, 0.6082, 0.2165], [0.0705, 0.8931, 0.7861], [0.4990, 0.7473, 0.4945], [0.4281, 0.3463, 0.1988]]
}

5.
{
  "formula": "Th3Co2Sn4",
  "functional": "GGA-PBE",
  "state": "optimized geometry",
  "magnetic_moment_mub_per_atom": 0.0000,
  "space_group": "C2/m, No. 12",
  "formation_energy_mev_per_atom": -341,
  "lattice_angstrom": [[-0.3486, 0.9855, 3.8922], [2.2757, -5.8710, -0.3961], [6.9293, 7.5894, -1.3011]],
  "species": ["Co", "Th", "Sn", "Sn", "Co", "Sn", "Sn", "Th", "Th"],
  "fractional_positions": [[0.6325, 0.2650, 0.2421], [0.6828, 0.3655, 0.6084], [0.0304, 0.0609, 0.3307], [0.7631, 0.5262, 0.1058], [0.3675, 0.7350, 0.7579], [0.2369, 0.4738, 0.8942], [0.9696, 0.9391, 0.6693], [0.0000, 0.0000, 0.0000], [0.3172, 0.6345, 0.3916]]
}

6.
{
  "formula": "Th6CoSn",
  "functional": "GGA-PBE",
  "state": "optimized geometry",
  "magnetic_moment_mub_per_atom": 0.0001,
  "space_group": "C2/m, No. 12",
  "formation_energy_mev_per_atom": -75,
  "lattice_angstrom": [[6.4031, 0.4800, 0.0000], [1.9493, 7.8350, 0.0000], [0.9746, 3.9175, 4.9695]],
  "species": ["Co", "Th", "Th", "Sn", "Th", "Th", "Th", "Th"],
  "fractional_positions": [[0.5000, 0.5000, 0.0000], [0.2048, 0.4111, 0.3866], [0.7952, 0.5889, 0.6134], [0.0000, 0.0000, 0.0000], [0.2048, 0.7977, 0.6134], [0.5932, 0.7955, 0.0000], [0.4068, 0.2045, 0.0000], [0.7952, 0.2023, 0.3866]]
}

7.
{
  "formula": "Th3CoSn2",
  "functional": "GGA-PBE",
  "state": "optimized geometry",
  "magnetic_moment_mub_per_atom": 0.0000,
  "relative_energy_ev_per_atom": 0.1675,
  "space_group": "C2/c, No. 15",
  "formation_energy_mev_per_atom": -298,
  "lattice_angstrom": [[6.3431, 0.0000, 0.0000], [0.0000, 7.4926, 0.0066], [-3.1715, -1.8726, 7.2868]],
  "species": ["Th", "Sn", "Co", "Sn", "Th", "Th", "Th", "Sn", "Co", "Th", "Sn", "Th"],
  "fractional_positions": [[0.8735, 0.9361, 0.7452], [0.3136, 0.4072, 0.6293], [0.9995, 0.2500, 0.0000], [0.6864, 0.5928, 0.3707], [0.8718, 0.4361, 0.7452], [0.4994, 0.2500, 0.0000], [0.1265, 0.0639, 0.2548], [0.3157, 0.9072, 0.6293], [0.0005, 0.7500, 0.0000], [0.1282, 0.5639, 0.2548], [0.6843, 0.0928, 0.3707], [0.5006, 0.7500, 0.0000]]
}

8.
{
  "formula": "Th2Co3Sn5",
  "functional": "GGA-PBE",
  "state": "optimized geometry",
  "magnetic_moment_mub_per_atom": 0.0000,
  "space_group": "Cmc2_1, No. 36",
  "formation_energy_mev_per_atom": -379,
  "lattice_angstrom": [[8.9370, 4.3518, 8.9228], [-9.6446, -7.2740, -5.7005], [4.9652, -4.3478, -2.8526]],
  "species": ["Th", "Sn", "Th", "Th", "Sn", "Co", "Th", "Co", "Sn", "Sn", "Co", "Co", "Sn", "Sn", "Sn", "Co", "Sn", "Sn", "Co", "Sn"],
  "fractional_positions": [[0.4715, 0.5285, 0.7599], [0.4068, 0.5932, 0.3790], [0.1707, 0.8293, 0.7268], [0.8293, 0.1707, 0.2268], [0.2945, 0.7055, 0.9289], [0.2244, 0.7756, 0.2189], [0.5285, 0.4715, 0.2599], [0.0497, 0.9503, 0.9832], [0.7124, 0.2876, 0.0132], [0.2876, 0.7124, 0.5132], [0.7756, 0.2244, 0.7189], [0.3931, 0.6069, 0.0078], [0.9507, 0.0493, 0.0970], [0.5932, 0.4068, 0.8790], [0.1246, 0.8754, 0.2502], [0.9503, 0.0497, 0.4832], [0.8754, 0.1246, 0.7502], [0.0493, 0.9507, 0.5970], [0.6069, 0.3931, 0.5078], [0.7055, 0.2945, 0.4289]]
}